# Li2AlReO6

A relaxed structure of Li2AlReO6 (GGA-PBE, Alexandria via LeMat-Bulk).

abc: 5.0329 5.2166 8.8385
angles: 90.00 124.63 90.00
With the nearest neighbours (Å) after each atom.
Fractional positions:
Li1 0.2404 0.0343 0.2473  3 O 2.04-2.09
Li2 0.2404 0.4657 0.7473  3 O 2.04-2.09
Li3 0.7596 0.5343 0.2527  3 O 2.04-2.09
Li4 0.7596 0.9657 0.7527  3 O 2.04-2.09
Al1 0.0000 0.0000 0.5000  6 O 1.90-1.91
Al2 0.0000 0.5000 0.0000  6 O 1.90-1.91
Re1 0.5000 0.0000 0.0000  6 O 1.89-1.90
Re2 0.5000 0.5000 0.5000  6 O 1.89-1.90
O1 0.1402 0.1958 0.9473  1 Re 1.89, 1 Al 1.90, 1 Li 2.08
O2 0.1402 0.3042 0.4473  1 Re 1.89, 1 Al 1.90, 1 Li 2.08
O3 0.2525 0.6979 0.9437  1 Re 1.89, 1 Al 1.91, 1 Li 2.09
O4 0.2525 0.8021 0.4437  1 Re 1.89, 1 Al 1.91, 1 Li 2.09
O5 0.3576 0.0297 0.7505  1 Re 1.90, 1 Al 1.91, 1 Li 2.04
O6 0.3576 0.4703 0.2505  1 Re 1.90, 1 Al 1.91, 1 Li 2.04
O7 0.6424 0.5297 0.7495  1 Re 1.90, 1 Al 1.91, 1 Li 2.04
O8 0.6424 0.9703 0.2495  1 Re 1.90, 1 Al 1.91, 1 Li 2.04
O9 0.7475 0.1979 0.5563  1 Re 1.89, 1 Al 1.91, 1 Li 2.09
O10 0.7475 0.3021 0.0563  1 Re 1.89, 1 Al 1.91, 1 Li 2.09
O11 0.8598 0.6958 0.5527  1 Re 1.89, 1 Al 1.90, 1 Li 2.08
O12 0.8598 0.8042 0.0527  1 Re 1.89, 1 Al 1.90, 1 Li 2.08

Results
- energy relative to the elements, uncorrected (eV per atom) = -2.08
- crystal system = monoclinic

=====

# Pu2ThSb2Pt2

A relaxed structure of Pu2ThSb2Pt2 (GGA-PBE, Alexandria via LeMat-Bulk).

abc: 9.2397 9.2397 9.2397
angles: 29.20 29.20 29.20
With the nearest neighbours (Å) after each atom.
Fractional positions:
Pu1 0.1411 0.1411 0.1411  3 Pt 2.92, 3 Pu 3.01
Pu2 0.8589 0.8589 0.8589  3 Pt 2.92, 3 Pu 3.01
Th1 0.0000 0.0000 0.0000  6 Sb 3.23
Sb1 0.2658 0.2658 0.2658  3 Pt 2.81
Sb2 0.7342 0.7342 0.7342  3 Pt 2.81
Pt1 0.4319 0.4319 0.4319  3 Sb 2.81, 3 Pu 2.92
Pt2 0.5681 0.5681 0.5681  3 Sb 2.81, 3 Pu 2.92

Results
- energy relative to the elements, uncorrected (eV per atom) = -0.71
- crystal system = trigonal

=====

# Sr2GeSb4Pd3

A relaxed structure of Sr2GeSb4Pd3 (GGA-PBE, Alexandria via LeMat-Bulk).

abc: 4.7825 4.7825 10.8413
angles: 90.00 90.00 90.00
With the nearest neighbours (Å) after each atom.
Fractional positions:
Sr1 0.0000 0.5000 0.2488  2 Ge 3.60, 6 Pd 3.60-3.66, 8 Sb 3.61-3.62
Sr2 0.5000 0.0000 0.7512  2 Ge 3.60, 6 Pd 3.60-3.66, 8 Sb 3.61-3.62
Ge1 0.5000 0.5000 0.0000  4 Sb 2.79
Sb1 0.0000 0.0000 0.5000  4 Pd 2.74
Sb2 0.0000 0.5000 0.8666  3 Pd 2.64-2.79, 2 Ge 2.79
Sb3 0.5000 0.0000 0.1334  3 Pd 2.64-2.79, 2 Ge 2.79
Sb4 0.5000 0.5000 0.5000  4 Pd 2.74
Pd1 0.0000 0.0000 0.0000  4 Sb 2.79
Pd2 0.0000 0.5000 0.6231  5 Sb 2.64-2.74
Pd3 0.5000 0.0000 0.3769  5 Sb 2.64-2.74

Results
- energy relative to the elements, uncorrected (eV per atom) = -0.63
- crystal system = tetragonal

=====

# PrDyS

A relaxed structure of PrDyS (GGA-PBE, Alexandria via LeMat-Bulk).

abc: 3.8730 3.8730 6.5269
angles: 90.00 90.00 120.00
With the nearest neighbours (Å) after each atom.
Fractional positions:
Pr1 0.0000 0.0000 0.0000  3 S 2.88
Dy1 0.3333 0.6667 0.4805  3 S 2.74
S1 0.6667 0.3333 0.7228  3 Dy 2.74, 3 Pr 2.88

Results
- energy relative to the elements, uncorrected (eV per atom) = -1.24
- crystal system = trigonal
- E above lowest polymorph (eV per atom) = 0.000

=====

# NaNd2Hg

A relaxed structure of NaNd2Hg (GGA-PBE, Alexandria via LeMat-Bulk).

abc: 5.5083 5.5083 5.5083
angles: 60.00 60.00 60.00
With the nearest neighbours (Å) after each atom.
Fractional positions:
Na1 0.0000 0.0000 0.0000  8 Nd 3.37
Nd1 0.2500 0.2500 0.2500  4 Hg 3.37, 4 Na 3.37
Nd2 0.7500 0.7500 0.7500  4 Hg 3.37, 4 Na 3.37
Hg1 0.5000 0.5000 0.5000  8 Nd 3.37

Results
- crystal system = cubic
- energy relative to the elements (eV/atom) = -0.079
- E above lowest polymorph (eV per atom) = 0.017

=====

# SrTc2As

A relaxed structure of SrTc2As (GGA-PBE, Alexandria via LeMat-Bulk).

abc: 2.9806 4.9970 5.3765
angles: 90.00 90.00 90.00
With the nearest neighbours (Å) after each atom.
Fractional positions:
Sr1 0.0000 0.0000 0.0000  2 Sr 2.98, 4 As 3.07, 8 Tc 3.31
Tc1 0.5000 0.5000 0.2930  1 Tc 2.23
Tc2 0.5000 0.5000 0.7070  1 Tc 2.23
As1 0.5000 0.0000 0.5000  4 Tc 2.74, 2 As 2.98

Results
- crystal system = orthorhombic
- energy relative to the elements (eV/atom) = 0.484